An optimized crystal structure of NbV5W2, computed with PBE-GGA.

Cell and atoms, written as POSCAR:
```
NbV5W2
1.0
2.653 -0.585 0.847
-2.901 7.507 -1.092
4.154 -1.464 14.617
Nb W V
2 4 10
Direct
0.773 0.960 0.750
0.227 0.040 0.250
0.810 0.692 0.135
0.190 0.308 0.865
0.117 0.692 0.365
0.883 0.308 0.635
0.670 0.597 0.750
0.245 0.359 0.059
0.755 0.641 0.941
0.330 0.403 0.250
0.135 0.033 0.074
0.100 0.359 0.441
0.924 0.967 0.574
0.865 0.967 0.926
0.900 0.641 0.559
0.076 0.033 0.426
```

Values from the calculation:
- V: 241.9 Å³ per cell
- ΔH_f (0 K): 1.9 eV/f.u.
- Total magnetization: 0.000 μB per formula unit
- N(E_F): 19.5 states/eV per cell


An optimized crystal structure of ZnNiAs, computed with PBE-GGA.

Cell and atoms, written as POSCAR:
```
ZnNiAs
1.0
-0.893 0.670 2.760
2.681 -1.217 -0.443
2.336 5.344 -0.541
Ni Zn As
1 1 1
Direct
0.333 0.667 0.321
0.667 0.333 0.641
0.000 0.000 0.038
```

Values from the calculation:
- V: 45.0 Å³ per cell
- ΔH_f (0 K): -0.2 eV/f.u.
- Total magnetization: 0.000 μB per formula unit
- N(E_F): 1.0 states/eV per cell


Question: Number 2 is which compound?
Answer: ZnNiAs


Please write out number 2 again, unchanged.
An optimized crystal structure of ZnNiAs, computed with PBE-GGA.

Cell and atoms, written as POSCAR:
```
ZnNiAs
1.0
-0.893 0.670 2.760
2.681 -1.217 -0.443
2.336 5.344 -0.541
Ni Zn As
1 1 1
Direct
0.333 0.667 0.321
0.667 0.333 0.641
0.000 0.000 0.038
```

Values from the calculation:
- V: 45.0 Å³ per cell
- ΔH_f (0 K): -0.2 eV/f.u.
- Total magnetization: 0.000 μB per formula unit
- N(E_F): 1.0 states/eV per cell


Question: Number 2 is which compound?
Answer: ZnNiAs


Question: V of number 1 (NbV5W2)?
Answer: 241.9 Å³ per cell